Entry 1:
Pu3Si2GeAu6 | PBE | optimized geometry

It has space group P-3m1 (No. 164), with a = 6.4261 Å, b = 6.4261 Å, c = 7.8367 Å, α = 90.00°, β = 90.00° and γ = 120.00°. The inequivalent atoms are Pu at (0.0000, 0.0000, 0.0000), Pu at (0.3333, 0.6667, 0.6705), Si at (0.3333, 0.6667, 0.0579), Ge at (0.0000, 0.0000, 0.5000) and Au at (0.1795, 0.3590, 0.2886).

Its density of states at the Fermi level is 4.072 states/eV per atom. The calculation puts the total magnetic moment at 17.11 Bohr magnetons per cell. Its electronic total energy is -0.2440 hartree per atom. For the raw formation energy, the calculation gives -148 kJ/mol of formula units.


Entry 2:
InIrN2F | PBE | optimized geometry

It has space group P4/mmm (No. 123), with a = 4.2303 Å, b = 4.2303 Å, c = 3.9930 Å, α = 90.00°, β = 90.00° and γ = 90.00°. The inequivalent atoms are In at (0.0000, 0.0000, 0.0000), Ir at (0.5000, 0.5000, 0.5000), N at (0.0000, 0.5000, 0.0000) and F at (0.0000, 0.0000, 0.5000).

Its density of states at the Fermi level is 1.500 states/eV per atom. The calculation puts the total magnetic moment at 0.89 Bohr magnetons per cell. Its electronic total energy is -0.1663 hartree per atom. For the raw formation energy, the calculation gives 723 kJ/mol of formula units. The polymorph energy (0 for the lowest one) comes out at 1350.5 meV per atom.


Entry 3:
KTc2Pb | PBE | optimized geometry

It has space group Cmmm (No. 65), with a = 5.9151 Å, b = 10.2684 Å, c = 2.7432 Å, α = 90.00°, β = 90.00° and γ = 90.00°. The inequivalent atoms are K at (0.0000, 0.0000, 0.0000), Tc at (0.2500, 0.2500, 0.5000) and Pb at (0.0000, 0.5000, 0.0000).

Its density of states at the Fermi level is 0.905 states/eV per atom. The calculation puts the total magnetic moment at 0.00 Bohr magnetons per cell. The value obtained for the formation energy is 1.394 eV/atom. Its electronic total energy is -0.1834 hartree per atom.


Entry 4:
Rb2Pa3GaO12 | PBE | optimized geometry

It has space group R-3m (No. 166, hexagonal axes), with a = 8.0814 Å, b = 8.0814 Å, c = 18.2972 Å, α = 90.00°, β = 90.00° and γ = 120.00°. The inequivalent atoms are Rb at (0.0000, 0.0000, 0.1423), Pa at (0.0000, 0.5000, 0.0000), Ga at (0.0000, 0.0000, 0.5000), O at (0.0851, 0.5426, 0.3647) and O at (0.0982, 0.5491, 0.1066).

Its density of states at the Fermi level is 0.762 states/eV per atom. The calculation puts the total magnetic moment at 11.34 Bohr magnetons per cell. Its electronic total energy is -0.2796 hartree per atom. For the raw formation energy, the calculation gives -4244 kJ/mol of formula units.


Entry 5:
Ba2Bi2I | PBE | optimized geometry

It has space group P4/mbm (No. 127), with a = 9.6196 Å, b = 9.6196 Å, c = 4.6476 Å, α = 90.00°, β = 90.00° and γ = 90.00°. The inequivalent atoms are Ba at (0.1831, 0.3169, 0.0000), Bi at (0.1080, 0.6080, 0.5000) and I at (0.0000, 0.0000, 0.5000).

Its density of states at the Fermi level is 0.770 states/eV per atom. The calculation puts the total magnetic moment at 0.00 Bohr magnetons per cell. Its electronic total energy is -0.1284 hartree per atom. For the raw formation energy, the calculation gives -416 kJ/mol of formula units. The polymorph energy (0 for the lowest one) comes out at 166.4 meV per atom.


Entry 6:
BaMg2GaCo | PBE | optimized geometry

It has space group P4/mmm (No. 123), with a = 5.0079 Å, b = 5.0079 Å, c = 4.7521 Å, α = 90.00°, β = 90.00° and γ = 90.00°. The inequivalent atoms are Ba at (0.0000, 0.0000, 0.0000), Mg at (0.0000, 0.5000, 0.5000), Ga at (0.5000, 0.5000, 0.0000) and Co at (0.5000, 0.5000, 0.5000).

Its density of states at the Fermi level is 0.589 states/eV per atom. The calculation puts the total magnetic moment at 0.00 Bohr magnetons per cell. The value obtained for the formation energy is -0.135 eV/atom. Its electronic total energy is -0.1170 hartree per atom.